Compound: La8GaOs3Cl4
Source: the Alexandria database
Functional: PBE
Structure: relaxed

Values from the calculation:
DFT total energy, eV per formula unit: -99.22
E_form (uncorrected), eV per atom: -0.98

```
data_La8GaOs3Cl4
_chemical_formula_sum 'La24 Ga3 Os9 Cl12'
_space_group_name_H-M_alt 'R -3 m'
_space_group_IT_number 166
_space_group_name_Hall '-R 3 2"'
_cell_length_a 8.4626
_cell_length_b 8.4626
_cell_length_c 22.7220
_cell_angle_alpha 90.00
_cell_angle_beta 90.00
_cell_angle_gamma 120.00
loop_
_atom_site_label
_atom_site_fract_x
_atom_site_fract_y
_atom_site_fract_z
La1 0.0000 0.0000 0.2377
La2 0.0181 0.5091 0.7657
Ga1 0.0000 0.0000 0.5000
Os1 0.0000 0.5000 0.5000
Cl1 0.0000 0.0000 0.0000
Cl2 0.0000 0.5000 0.0000
```

***

Compound: La8GaP3Cl4
Source: the Alexandria database
Functional: PBE
Structure: relaxed

Values from the calculation:
DFT total energy, eV per formula unit: -89.41
E_form (uncorrected), eV per atom: -1.46

```
data_La8GaP3Cl4
_chemical_formula_sum 'La16 Ga2 P6 Cl8'
_space_group_name_H-M_alt 'C 1 2/m 1'
_space_group_IT_number 12
_cell_length_a 13.2180
_cell_length_b 8.0093
_cell_length_c 9.1471
_cell_angle_alpha 90.00
_cell_angle_beta 120.13
_cell_angle_gamma 90.00
loop_
_space_group_symop_operation_xyz
'x,y,z'
'-x,-y,-z'
'-x,y,-z'
'x,-y,z'
'x+1/2,y+1/2,z'
'-x+1/2,-y+1/2,-z'
'-x+1/2,y+1/2,-z'
'x+1/2,-y+1/2,z'
loop_
_atom_site_label
_atom_site_fract_x
_atom_site_fract_y
_atom_site_fract_z
La1 0.0070 0.2412 0.2763
La2 0.2434 0.0000 0.7145
La3 0.2501 0.0000 0.2766
Ga1 0.0000 0.5000 0.5000
P1 0.0000 0.0000 0.5000
P2 0.2500 0.2500 0.5000
Cl1 0.0000 0.0000 0.0000
Cl2 0.0000 0.5000 0.0000
Cl3 0.2500 0.2500 0.0000
```